# 1
First-principles (GGA-PBEsol) data for Cu2MoSeO7 after structural relaxation, as listed in the Alexandria database.

Structure (extended XYZ):
```
44
Lattice="-7.476 -0.537 -3.008 1.288 -7.304 3.829 -3.317 3.418 7.636" Properties=species:S:1:pos:R:3 pbc="T T T"
O -2.862 -4.083 1.721
Cu -7.167 -4.083 9.247
Cu -1.851 -2.924 0.575
O -2.035 -5.264 7.939
O -7.023 1.955 5.462
O -6.459 -3.087 7.698
Mo -6.451 -5.631 2.822
O -6.374 -0.187 4.104
O -3.132 -4.235 4.354
Cu -2.339 -0.339 -0.788
Se -6.350 -3.884 6.118
O -7.470 0.842 0.520
O -4.353 1.637 6.858
O -2.482 -6.377 2.996
O -0.993 -2.136 2.927
Cu -2.822 -4.912 6.207
Mo -2.693 -2.153 8.201
O -6.222 -1.257 -1.051
O -5.483 -2.620 5.315
O -2.755 -2.999 6.576
O -6.555 -3.902 3.114
Mo -6.813 -2.270 0.257
O -4.454 0.546 1.988
O -6.751 -1.424 1.882
O -2.950 -0.521 5.344
O -9.000 1.204 3.257
O -5.152 -6.059 1.601
O -0.505 -5.627 5.201
Cu -6.684 0.490 2.251
Cu -7.654 -1.498 7.883
Se -3.155 -0.539 2.341
O -5.894 -3.770 0.289
O -4.022 -1.802 3.143
O -3.611 -0.652 8.169
Se -7.506 0.296 5.381
Cu -6.200 -2.092 3.623
O -6.644 -0.339 6.737
Cu -3.306 -2.331 4.836
O -3.046 -1.335 0.760
Mo -3.054 1.208 5.637
O -5.051 -4.968 6.470
O -8.512 -2.287 5.532
O -3.284 -3.165 9.510
Se -1.999 -4.718 3.077
```

Summary:
- E: -6.6444 eV per atom
- Magnetization: 0.167 μB/atom
- ΔE_f (raw): -1.096 eV/atom

=====

# 2
First-principles (GGA-PBEsol) data for ReSbSe after structural relaxation, as listed in the Alexandria database.

Structure (extended XYZ):
```
3
Lattice="4.498 0.000 0.000 2.249 3.896 0.000 2.249 1.299 3.673" Properties=species:S:1:pos:R:3 pbc="T T T"
Sb 2.249 1.299 0.918
Se 0.000 0.000 0.000
Re 4.498 2.597 1.836
```

Summary:
- E: -6.0257 eV per atom
- Offset from the most stable computed form: 515 meV/atom
- Magnetization: 0.000 μB/atom
- ΔE_f (raw): 1.221 eV/atom

=====

# 3
First-principles (GGA-PBEsol) data for LiZr2P3O12 after structural relaxation, as listed in the Alexandria database.

Structure (extended XYZ):
```
36
Lattice="-7.974 1.311 -3.736 -1.946 -3.662 -8.000 -5.755 -6.809 -0.558" Properties=species:S:1:pos:R:3 pbc="T T T"
O -6.647 -8.625 -6.145
O -8.041 -4.450 -9.763
O -8.818 -0.501 -6.086
O -5.529 -6.546 -7.120
O -10.022 -5.575 -10.876
O -6.288 -3.704 -7.609
O -6.119 -1.506 -6.567
P -9.403 -6.137 -6.050
O -3.264 -1.766 -1.678
O -9.324 -7.647 -5.767
P -6.089 -3.012 -6.235
Li -11.358 -8.729 -9.193
O -12.873 -5.926 -8.604
Li -4.197 -5.421 -5.830
Zr -2.760 -2.642 -5.613
O -7.140 -3.407 -5.201
O -4.714 -3.473 -5.684
O -8.650 -9.138 -8.203
O -9.151 -5.388 -4.732
O -10.798 -5.778 -6.582
O -6.917 0.029 -3.974
O -10.291 -3.340 -9.877
O -9.884 -2.552 -5.097
P -13.340 -6.489 -9.972
Zr -12.746 -6.408 -6.543
O -5.573 -3.587 -1.417
P -2.138 -2.635 -2.259
O -7.723 -4.655 -2.290
Zr -6.879 -5.536 -8.497
O -5.531 -5.874 -2.415
Zr -8.679 -3.612 -3.873
P -6.365 -4.893 -1.580
O -8.338 -5.747 -7.086
O -2.545 -3.129 -3.656
P -9.289 -4.250 -10.634
O -12.224 -7.437 -10.483
```

Summary:
- E: -8.3255 eV per atom
- Offset from the most stable computed form: 9 meV/atom
- Magnetization: 0.000 μB/atom
- ΔE_f (raw): -2.742 eV/atom

=====

# 4
First-principles (GGA-PBEsol) data for MnSiO3 after structural relaxation, as listed in the Alexandria database.

Structure (extended XYZ):
```
20
Lattice="5.379 -0.039 -0.037 1.728 6.542 -0.103 1.728 0.116 6.542" Properties=species:S:1:pos:R:3 pbc="T T T"
O 5.106 4.155 4.278
O 3.875 6.407 5.047
Si 2.273 2.533 1.349
Si 4.962 1.413 2.468
O 2.018 4.048 0.830
O 4.959 0.212 1.354
Si 3.872 5.205 3.933
Mn 5.762 0.741 5.837
O 4.126 5.673 2.402
O 3.728 2.464 2.123
O 6.565 5.239 6.216
O 6.418 2.185 2.373
Mn 3.072 5.878 0.564
O 4.708 0.946 3.999
Mn 3.072 1.742 4.841
O 6.816 2.571 5.571
Si 6.562 4.086 5.052
Mn 5.762 4.877 1.561
O 2.269 1.380 0.185
O 2.417 4.434 4.028
```

Summary:
- E: -8.4135 eV per atom
- Magnetization: 1.000 μB/atom
- ΔE_f (raw): -2.162 eV/atom

=====

# 5
First-principles (GGA-PBEsol) data for InCuP2 after structural relaxation, as listed in the Alexandria database.

Structure (extended XYZ):
```
4
Lattice="3.620 0.000 0.000 1.810 3.135 0.000 1.810 1.045 5.919" Properties=species:S:1:pos:R:3 pbc="T T T"
P 5.430 3.135 4.100
P 1.810 1.045 1.818
Cu 3.620 2.090 2.959
In 0.000 0.000 0.000
```

Summary:
- E: -4.6249 eV per atom
- Magnetization: 0.000 μB/atom
- Formation enthalpy at 0 K: 0.1000 eV per atom

=====

# 6
First-principles (GGA-PBEsol) data for SrAl2Ni after structural relaxation, as listed in the Alexandria database.

Structure (extended XYZ):
```
4
Lattice="4.217 0.000 0.000 2.109 3.652 0.000 2.109 1.217 5.616" Properties=species:S:1:pos:R:3 pbc="T T T"
Al 2.109 1.217 1.853
Al 6.326 3.652 0.913
Ni 4.217 2.435 1.586
Sr 6.326 3.652 4.187
```

Summary:
- E: -4.3852 eV per atom
- Magnetization: 0.000 μB/atom
- Formation enthalpy at 0 K: -0.3400 eV per atom

=====

# 7
First-principles (GGA-PBEsol) data for AgCF2 after structural relaxation, as listed in the Alexandria database.

Structure (extended XYZ):
```
8
Lattice="3.481 0.000 0.000 0.000 3.481 0.000 -1.741 -1.741 7.227" Properties=species:S:1:pos:R:3 pbc="T T T"
Ag 0.000 1.741 3.614
C 1.741 1.741 0.000
F 2.545 0.870 1.807
Ag 0.000 0.000 0.000
F 0.937 2.611 1.807
F -0.870 -0.804 5.420
F 0.870 0.804 5.420
C 1.741 0.000 3.614
```

Summary:
- E: -3.5299 eV per atom
- Magnetization: 0.140 μB/atom
- ΔE_f (raw): 0.673 eV/atom

=====

# 8
First-principles (GGA-PBEsol) data for AgAs2 after structural relaxation, as listed in the Alexandria database.

Structure (extended XYZ):
```
6
Lattice="-1.705 -2.908 0.214 2.512 -1.592 -1.601 4.077 0.284 9.679" Properties=species:S:1:pos:R:3 pbc="T T T"
As 0.669 -2.121 3.159
As 2.106 -2.752 6.041
Ag 3.496 -1.778 3.692
As 3.762 -1.650 7.544
Ag 0.000 0.000 0.000
As 1.122 -2.565 0.748
```

Summary:
- E: -4.2355 eV per atom
- Magnetization: 0.000 μB/atom
- Formation enthalpy at 0 K: 0.2725 eV per atom

=====

# 9
First-principles (GGA-PBEsol) data for AlBr2Cl after structural relaxation, as listed in the Alexandria database.

Structure (extended XYZ):
```
8
Lattice="4.764 0.000 0.000 2.382 6.475 0.000 2.382 0.000 6.475" Properties=species:S:1:pos:R:3 pbc="T T T"
Br 7.742 4.159 5.554
Cl 0.000 0.000 0.000
Br 4.169 5.554 2.316
Cl 5.955 3.238 3.238
Al 2.382 0.000 0.000
Al 3.573 3.238 3.238
Br 4.169 0.921 4.159
Br 2.978 2.316 0.921
```

Summary:
- E: -3.2761 eV per atom
- Offset from the most stable computed form: 0 meV/atom
- Magnetization: 0.000 μB/atom
- ΔE_f (raw): -0.816 eV/atom

=====

# 10
First-principles (GGA-PBEsol) data for CsAs2Br2 after structural relaxation, as listed in the Alexandria database.

Structure (extended XYZ):
```
10
Lattice="3.392 0.000 0.000 0.000 9.264 0.000 0.000 0.000 9.264" Properties=species:S:1:pos:R:3 pbc="T T T"
As 1.696 2.069 6.701
Br 0.000 8.107 5.788
Br 0.000 1.156 3.475
Br 0.000 5.788 1.156
Cs 0.000 0.000 0.000
Br 0.000 3.475 8.107
As 1.696 7.194 2.563
As 1.696 2.563 2.069
Cs 0.000 4.632 4.632
As 1.696 6.701 7.194
```

Summary:
- E: -2.8790 eV per atom
- Magnetization: 0.000 μB/atom
- ΔE_f (raw): 0.100 eV/atom

=====

# 11
First-principles (GGA-PBEsol) data for CeMg12 after structural relaxation, as listed in the Alexandria database.

Structure (extended XYZ):
```
13
Lattice="-3.196 -3.950 2.841 4.448 -5.509 3.308 -1.154 2.012 7.463" Properties=species:S:1:pos:R:3 pbc="T T T"
Mg 1.666 -5.894 5.607
Mg 2.480 -2.866 4.768
Ce 0.000 0.000 0.000
Mg 2.224 -2.754 1.654
Mg -0.916 -3.791 5.627
Mg 0.324 -5.568 10.516
Mg -1.568 -1.553 8.005
Mg -0.226 -1.879 3.097
Mg 0.814 -0.631 6.003
Mg 1.013 -3.656 7.985
Mg -0.577 1.006 3.731
Mg -2.175 -0.969 5.152
Mg 0.626 -4.729 3.075
```

Summary:
- E: -2.0800 eV per atom
- Magnetization: 0.085 μB/atom
- Formation enthalpy at 0 K: 0.0124 eV per atom

=====

# 12
First-principles (GGA-PBEsol) data for Li3Zn after structural relaxation, as listed in the Alexandria database.

Structure (extended XYZ):
```
4
Lattice="-1.233 2.123 1.227 2.156 -1.233 4.299 3.927 1.857 -2.337" Properties=species:S:1:pos:R:3 pbc="T T T"
Zn 0.000 0.000 0.000
Li 1.489 2.180 0.794
Li 0.462 0.445 2.763
Li 3.361 0.567 2.395
```

Summary:
- E: -1.9430 eV per atom
- Magnetization: 0.000 μB/atom
- Formation enthalpy at 0 K: -0.0725 eV per atom

=====

# 13
First-principles (GGA-PBEsol) data for MnAg2SnTe4 after structural relaxation, as listed in the Alexandria database.

Structure (extended XYZ):
```
8
Lattice="-3.677 1.216 -4.925 2.198 -5.100 -2.900 -3.897 -1.536 6.515" Properties=species:S:1:pos:R:3 pbc="T T T"
Te -1.921 -4.264 2.479
Te -1.519 -1.797 -1.196
Ag -1.219 -4.289 -0.149
Ag -4.157 -1.131 -1.161
Mn 0.000 0.000 0.000
Te -5.014 -0.938 1.413
Sn -0.739 -1.942 -3.913
Te -2.298 -3.842 -5.316
```

Summary:
- E: -4.3763 eV per atom
- Magnetization: 0.560 μB/atom
- ΔE_f (raw): -0.033 eV/atom

=====

# 14
First-principles (GGA-PBEsol) data for LiScAg3 after structural relaxation, as listed in the Alexandria database.

Structure (extended XYZ):
```
5
Lattice="-1.254 4.802 -1.289 -4.904 -1.413 -0.494 -0.818 1.112 4.938" Properties=species:S:1:pos:R:3 pbc="T T T"
Ag -0.409 0.556 2.469
Ag -0.627 2.401 -0.645
Ag -2.452 -0.707 -0.247
Li -3.488 2.250 1.577
Sc 0.000 0.000 0.000
```

Summary:
- E: -2.9666 eV per atom
- Magnetization: 0.000 μB/atom
- Formation enthalpy at 0 K: 0.7345 eV per atom

=====

# 15
First-principles (GGA-PBEsol) data for TiCr2Ni3P6O24 after structural relaxation, as listed in the Alexandria database.

Structure (extended XYZ):
```
36
Lattice="8.182 -0.034 -0.024 3.824 7.233 -0.024 3.824 2.293 6.860" Properties=species:S:1:pos:R:3 pbc="T T T"
Ni 5.705 3.422 2.455
P 8.016 1.327 3.064
P 6.710 5.504 0.276
O 9.816 4.954 2.771
P 7.816 8.172 3.697
O 4.129 4.470 2.201
O 10.287 3.190 1.197
O 5.695 6.687 0.431
O 5.888 2.577 0.751
O 8.993 4.651 5.106
O 5.046 1.986 3.530
O 6.746 8.059 2.639
O 10.891 5.649 0.617
Ti 13.539 8.120 5.827
O 11.700 5.025 4.634
Cr 7.942 4.763 3.418
O 6.048 4.615 4.085
O 7.659 3.558 6.790
O 12.924 8.514 4.136
O 6.920 4.882 1.688
Ni 10.133 6.077 4.361
P 10.890 4.478 1.702
O 10.802 7.496 3.276
O 8.338 6.676 3.806
O 13.597 6.285 5.678
O 9.943 6.937 6.053
O 10.112 2.809 6.384
Cr 0.013 0.008 0.006
O 7.241 8.480 5.154
O 8.581 1.008 1.638
O 7.566 2.817 3.064
O 11.948 8.271 6.741
P 9.079 4.013 6.558
Ni 2.250 1.349 0.968
P 4.945 4.967 5.126
O 4.931 3.823 6.197
```

Summary:
- E: -7.6419 eV per atom
- Magnetization: 0.301 μB/atom
- ΔE_f (raw): -1.864 eV/atom

=====

# 16
First-principles (GGA-PBEsol) data for GePdSe2O after structural relaxation, as listed in the Alexandria database.

Structure (extended XYZ):
```
5
Lattice="4.303 0.000 0.000 0.000 4.412 0.000 0.000 0.000 4.412" Properties=species:S:1:pos:R:3 pbc="T T T"
Se 0.000 2.206 0.000
O 0.000 0.000 0.000
Ge 2.152 0.000 0.000
Se 0.000 0.000 2.206
Pd 2.152 2.206 2.206
```

Summary:
- E: -4.5338 eV per atom
- Magnetization: 0.000 μB/atom
- ΔE_f (raw): 0.236 eV/atom

=====

# 17
First-principles (GGA-PBEsol) data for YInRe3 after structural relaxation, as listed in the Alexandria database.

Structure (extended XYZ):
```
5
Lattice="4.744 0.000 0.000 0.000 4.744 0.000 0.000 0.000 4.744" Properties=species:S:1:pos:R:3 pbc="T T T"
Re 0.000 0.000 2.372
Re 0.000 2.372 0.000
Y 0.000 0.000 0.000
In 2.372 2.372 2.372
Re 2.372 0.000 0.000
```

Summary:
- E: -7.0225 eV per atom
- Magnetization: 0.339 μB/atom
- Formation enthalpy at 0 K: 2.9377 eV per atom

=====

# 18
First-principles (GGA-PBEsol) data for Ba2YW after structural relaxation, as listed in the Alexandria database.

Structure (extended XYZ):
```
4
Lattice="3.839 0.000 0.045 0.000 3.839 0.000 -0.123 0.000 9.351" Properties=species:S:1:pos:R:3 pbc="T T T"
Ba -0.111 0.000 8.815
W 3.768 0.000 5.268
Y 1.835 1.919 6.360
Ba 1.879 1.919 3.025
```

Summary:
- E: -5.4742 eV per atom
- Magnetization: 0.000 μB/atom
- Formation enthalpy at 0 K: 0.7577 eV per atom

=====

# 19
First-principles (GGA-PBEsol) data for BaPt2Au after structural relaxation, as listed in the Alexandria database.

Structure (extended XYZ):
```
4
Lattice="4.893 0.000 0.000 2.447 4.238 0.000 2.447 1.413 3.995" Properties=species:S:1:pos:R:3 pbc="T T T"
Pt 7.340 4.238 2.997
Au 0.000 0.000 0.000
Pt 2.447 1.413 0.999
Ba 4.893 2.825 1.998
```

Summary:
- E: -4.8924 eV per atom
- Offset from the most stable computed form: 592 meV/atom
- Magnetization: 0.000 μB/atom
- Formation enthalpy at 0 K: 0.1076 eV per atom

=====

# 20
First-principles (GGA-PBEsol) data for NbBi2BSb after structural relaxation, as listed in the Alexandria database.

Structure (extended XYZ):
```
5
Lattice="-1.659 -4.227 -0.704 4.577 -1.607 -1.142 0.804 -1.114 4.790" Properties=species:S:1:pos:R:3 pbc="T T T"
B 0.000 0.000 0.000
Bi 0.402 -0.557 2.395
Nb 1.861 -3.474 1.472
Sb -0.830 -2.113 -0.352
Bi 2.289 -0.803 -0.571
```

Summary:
- E: -5.1303 eV per atom
- Magnetization: 0.454 μB/atom
- ΔE_f (raw): 1.063 eV/atom